(1)
# PBE In2ICl, optimized geometry
# Crystal system: cubic
# Energy relative to the lowest polymorph listed for this composition, meV per atom: 61
# Spin magnetization, μB per formula unit: 0.00
# N(E_F), states/eV/f.u.: 0.0
# Theoretical density, g/cm³: 4.9
# Uncorrected formation energy, meV per atom: -557
data_In2ICl
_space_group_name_H-M_alt 'F m -3 m'
_space_group_IT_number 225
_space_group_name_Hall '-F 4 2 3'
_cell_length_a 8.1048
_cell_length_b 8.1048
_cell_length_c 8.1048
_cell_angle_alpha 90.00
_cell_angle_beta 90.00
_cell_angle_gamma 90.00
loop_
_atom_site_label
_atom_site_type_symbol
_atom_site_fract_x
_atom_site_fract_y
_atom_site_fract_z
In1 In 0.2500 0.2500 0.2500
I1 I 0.0000 0.0000 0.0000
Cl1 Cl 0.0000 0.0000 0.5000

=====

(2)
# PBE Tb2Pr8Tl, optimized geometry
# Crystal system: monoclinic
# Energy relative to the lowest polymorph listed for this composition, meV per atom: 0
# Spin magnetization, μB per formula unit: 0.00
# N(E_F), states/eV/f.u.: 14.9
# Energy relative to the elements, meV per atom: -44
# Theoretical density, g/cm³: 7.3
data_Tb2Pr8Tl
_space_group_name_H-M_alt 'C 1 2/m 1'
_space_group_IT_number 12
_space_group_name_Hall '-C 2y'
_cell_length_a 18.5814
_cell_length_b 5.1067
_cell_length_c 8.1956
_cell_angle_alpha 90.00
_cell_angle_beta 105.67
_cell_angle_gamma 90.00
loop_
_atom_site_label
_atom_site_type_symbol
_atom_site_fract_x
_atom_site_fract_y
_atom_site_fract_z
Tb1 Tb 0.2247 0.0000 0.1328
Pr1 Pr 0.0447 0.0000 0.2278
Pr2 Pr 0.0910 0.5000 0.9436
Pr3 Pr 0.1376 0.0000 0.6804
Pr4 Pr 0.1785 0.5000 0.4085
Tl1 Tl 0.0000 0.5000 0.5000

=====

(3)
# PBE PuAg2Hg6, optimized geometry
# Crystal system: monoclinic
# Spin magnetization, μB per formula unit: 6.07
# N(E_F), states/eV/f.u.: 10.8
# Energy relative to the elements, meV per atom: 21
# Theoretical density, g/cm³: 13.3
data_PuAg2Hg6
_space_group_name_H-M_alt 'C 1 2/m 1'
_space_group_IT_number 12
_space_group_name_Hall '-C 2y'
_cell_length_a 15.2230
_cell_length_b 8.9309
_cell_length_c 3.1259
_cell_angle_alpha 90.00
_cell_angle_beta 101.75
_cell_angle_gamma 90.00
loop_
_atom_site_label
_atom_site_type_symbol
_atom_site_fract_x
_atom_site_fract_y
_atom_site_fract_z
Pu1 Pu 0.0000 0.0000 0.0000
Ag1 Ag 0.1495 0.5000 0.1434
Hg1 Hg 0.0000 0.3327 0.5000
Hg2 Hg 0.1744 0.1699 0.6732

=====

(4)
# PBE Nd2SmHoSc, optimized geometry
# Crystal system: orthorhombic
# Spin magnetization, μB per formula unit: 0.00
# N(E_F), states/eV/f.u.: 6.7
# Energy relative to the elements, meV per atom: 357
# Theoretical density, g/cm³: 6.3
data_Nd2SmHoSc
_space_group_name_H-M_alt 'C m c m'
_space_group_IT_number 63
_space_group_name_Hall '-C 2c 2'
_cell_length_a 8.2518
_cell_length_b 11.4324
_cell_length_c 7.1961
_cell_angle_alpha 90.00
_cell_angle_beta 90.00
_cell_angle_gamma 90.00
loop_
_atom_site_label
_atom_site_type_symbol
_atom_site_fract_x
_atom_site_fract_y
_atom_site_fract_z
Nd1 Nd 0.1994 0.0000 0.0000
Sm1 Sm 0.0000 0.2276 0.2500
Ho1 Ho 0.0000 0.2422 0.7500
Sc1 Sc 0.0000 0.4885 0.2500

=====

(5)
# PBE PrPuTh2Se4, optimized geometry
# Crystal system: monoclinic
# Spin magnetization, μB per formula unit: 5.61
# N(E_F), states/eV/f.u.: 10.3
# Theoretical density, g/cm³: 9.2
# Uncorrected formation energy, meV per atom: -1615
data_PrPuTh2Se4
_space_group_name_H-M_alt 'P 1 2/m 1'
_space_group_IT_number 10
_space_group_name_Hall '-P 2y'
_cell_length_a 7.2269
_cell_length_b 4.1762
_cell_length_c 7.3589
_cell_angle_alpha 90.00
_cell_angle_beta 109.16
_cell_angle_gamma 90.00
loop_
_atom_site_label
_atom_site_type_symbol
_atom_site_fract_x
_atom_site_fract_y
_atom_site_fract_z
Pr1 Pr 0.0000 0.0000 0.0000
Pu1 Pu 0.5000 0.5000 0.0000
Th1 Th 0.0000 0.5000 0.5000
Th2 Th 0.5000 0.0000 0.5000
Se1 Se 0.2540 0.5000 0.2485
Se2 Se 0.2566 0.0000 0.7557

=====

(6)
# PBE Ac2TmAg, optimized geometry
# Crystal system: trigonal
# Energy relative to the lowest polymorph listed for this composition, meV per atom: 388
# Spin magnetization, μB per formula unit: 0.00
# N(E_F), states/eV/f.u.: 4.1
# Energy relative to the elements, meV per atom: 315
# Theoretical density, g/cm³: 8.1
data_Ac2TmAg
_space_group_name_H-M_alt 'R -3 m'
_space_group_IT_number 166
_space_group_name_Hall '-R 3 2"'
_cell_length_a 3.7571
_cell_length_b 3.7571
_cell_length_c 36.5682
_cell_angle_alpha 90.00
_cell_angle_beta 90.00
_cell_angle_gamma 120.00
loop_
_atom_site_label
_atom_site_type_symbol
_atom_site_fract_x
_atom_site_fract_y
_atom_site_fract_z
Ac1 Ac 0.0000 0.0000 0.0858
Tm1 Tm 0.0000 0.0000 0.5000
Ag1 Ag 0.0000 0.0000 0.0000

=====

Q: Which of these has the highest spin magnetization?
A: PuAg2Hg6